## ZrNb2Se6 (PBE)

Data for a geometry-optimized ZrNb2Se6 structure.

a b c (Å): 6.4691 6.4691 10.6940
angles (deg): 90.00 90.00 90.00
Closest atoms and distances in Å follow each position.
Atoms (fractional coordinates):
Se 0.7930 0.2070 0.1714  2 Nb 2.60-2.68, 1 Zr 2.64
Se 0.2930 0.2930 0.6714  2 Nb 2.60-2.68, 1 Zr 2.64
Se 0.2030 0.7970 0.5000  2 Nb 2.54, 1 Zr 2.72
Nb 0.0000 0.0000 0.6622  6 Se 2.54-2.68
Se 0.7970 0.2030 0.5000  2 Nb 2.54, 1 Zr 2.72
Se 0.7030 0.7030 0.0000  2 Nb 2.54, 1 Zr 2.72
Se 0.2970 0.2970 0.0000  2 Nb 2.54, 1 Zr 2.72
Zr 0.0000 0.0000 0.0000  6 Se 2.64-2.72
Nb 0.5000 0.5000 0.1622  6 Se 2.54-2.68
Se 0.7070 0.7070 0.6714  2 Nb 2.60-2.68, 1 Zr 2.64
Se 0.2070 0.7930 0.1714  2 Nb 2.60-2.68, 1 Zr 2.64
Se 0.7070 0.7070 0.3286  2 Nb 2.60-2.68, 1 Zr 2.64
Se 0.7930 0.2070 0.8286  2 Nb 2.60-2.68, 1 Zr 2.64
Nb 0.5000 0.5000 0.8378  6 Se 2.54-2.68
Zr 0.5000 0.5000 0.5000  6 Se 2.64-2.72
Se 0.2070 0.7930 0.8286  2 Nb 2.60-2.68, 1 Zr 2.64
Se 0.2930 0.2930 0.3286  2 Nb 2.60-2.68, 1 Zr 2.64
Nb 0.0000 0.0000 0.3378  6 Se 2.54-2.68

Results
Space group: No. 136
Magnetic moment: 0.00 μB/f.u.
Uncorrected formation energy: -797 meV/atom
Total DFT energy (no corrections): -6.307 eV/atom



## Zr2NbSe4 (PBE)

Data for a geometry-optimized Zr2NbSe4 structure.

a b c (Å): 3.5645 6.6098 7.5523
angles (deg): 116.09 103.65 90.00
Closest atoms and distances in Å follow each position.
Atoms (fractional coordinates):
Se 0.3755 0.6995 0.7510  2 Nb 2.68, 3 Zr 2.79-2.82
Se 0.1113 0.7829 0.2226  1 Nb 2.62, 3 Zr 2.70-2.71
Zr 0.2523 0.2251 0.5046  6 Se 2.70-2.82
Zr 0.7477 0.7749 0.4954  6 Se 2.70-2.82
Se 0.8887 0.2171 0.7774  1 Nb 2.62, 3 Zr 2.70-2.71
Nb 0.0000 0.0000 0.0000  6 Se 2.62-2.68
Se 0.6245 0.3005 0.2490  2 Nb 2.68, 3 Zr 2.79-2.82

Results
Space group: No. 12
Magnetic moment: 0.71 μB/f.u.
Uncorrected formation energy: -1110 meV/atom
Total DFT energy (no corrections): -6.982 eV/atom



## Zr3NbSe (PBE)

Data for a geometry-optimized Zr3NbSe structure.

a b c (Å): 5.1085 5.1085 5.1085
angles (deg): 90.00 90.00 90.00
Closest atoms and distances in Å follow each position.
Atoms (fractional coordinates):
Zr 0.0000 0.0000 0.5000  2 Nb 2.55
Nb 0.0000 0.0000 0.0000  6 Zr 2.55
Zr 0.5000 0.0000 0.0000  2 Nb 2.55
Zr 0.0000 0.5000 0.0000  2 Nb 2.55
Se 0.5000 0.5000 0.5000  12 Zr 3.61

Results
Space group: No. 221
Magnetic moment: 1.01 μB/f.u.
Uncorrected formation energy: 782 meV/atom
Total DFT energy (no corrections): -7.057 eV/atom



## ZrNbSe2 (PBE)

Data for a geometry-optimized ZrNbSe2 structure.

a b c (Å): 4.6754 4.6754 4.6754
angles (deg): 60.00 60.00 60.00
Closest atoms and distances in Å follow each position.
Atoms (fractional coordinates):
Se 0.7500 0.7500 0.7500  4 Zr 2.86, 4 Nb 2.86
Se 0.2500 0.2500 0.2500  4 Nb 2.86, 4 Zr 2.86
Zr 0.0000 0.0000 0.0000  8 Se 2.86
Nb 0.5000 0.5000 0.5000  8 Se 2.86

Results
Space group: No. 225
Magnetic moment: 0.88 μB/f.u.
Uncorrected formation energy: -715 meV/atom
Total DFT energy (no corrections): -7.111 eV/atom



## ZrNbSe2 (PBE)

Data for a geometry-optimized ZrNbSe2 structure.

a b c (Å): 4.8177 4.8177 8.6967
angles (deg): 73.92 73.92 90.00
Closest atoms and distances in Å follow each position.
Atoms (fractional coordinates):
Se 0.3750 0.3527 0.7500  2 Nb 2.58, 2 Zr 2.68
Se 0.1027 0.6250 0.2500  2 Nb 2.58, 2 Zr 2.68
Nb 0.7500 0.2500 0.5000  4 Se 2.58
Nb 0.0000 0.0000 0.0000  4 Se 2.58
Se 0.6473 0.1250 0.2500  2 Nb 2.58, 2 Zr 2.68
Se 0.8750 0.8973 0.7500  2 Nb 2.58, 2 Zr 2.68
Zr 0.2500 0.7500 0.5000  4 Se 2.68
Zr 0.5000 0.5000 0.0000  4 Se 2.68

Results
Space group: No. 122
Magnetic moment: 0.00 μB/f.u.
Uncorrected formation energy: -340 meV/atom
Total DFT energy (no corrections): -6.737 eV/atom



## ZrNb3Se (PBE)

Data for a geometry-optimized ZrNb3Se structure.

a b c (Å): 4.7696 4.7696 4.7696
angles (deg): 90.00 90.00 90.00
Closest atoms and distances in Å follow each position.
Atoms (fractional coordinates):
Zr 0.5000 0.5000 0.5000  12 Nb 3.37
Nb 0.5000 0.0000 0.0000  2 Se 2.38
Nb 0.0000 0.5000 0.0000  2 Se 2.38
Se 0.0000 0.0000 0.0000  6 Nb 2.38
Nb 0.0000 0.0000 0.5000  2 Se 2.38

Results
Space group: No. 221
Magnetic moment: 0.00 μB/f.u.
Uncorrected formation energy: 393 meV/atom
Total DFT energy (no corrections): -8.055 eV/atom



## Zr3NbSe8 (PBE)

Data for a geometry-optimized Zr3NbSe8 structure.

a b c (Å): 7.4305 7.4319 8.1604
angles (deg): 117.55 90.00 119.99
Closest atoms and distances in Å follow each position.
Atoms (fractional coordinates):
Se 0.7543 0.9958 0.2343  1 Nb 2.64, 2 Zr 2.71
Se 0.2414 0.4829 0.2342  1 Nb 2.64, 2 Zr 2.71
Se 0.7470 0.4940 0.2375  3 Zr 2.70
Se 0.7584 0.0042 0.7657  1 Nb 2.64, 2 Zr 2.71
Zr 0.5000 0.5000 0.0000  6 Se 2.70-2.71
Se 0.2457 0.0042 0.7657  1 Nb 2.64, 2 Zr 2.71
Se 0.2530 0.5060 0.7625  3 Zr 2.70
Zr 0.5000 0.0000 0.0000  6 Se 2.70-2.71
Nb 0.0000 0.0000 0.0000  6 Se 2.64
Se 0.7586 0.5171 0.7658  1 Nb 2.64, 2 Zr 2.71
Zr 0.0000 0.5000 0.0000  6 Se 2.70-2.71
Se 0.2416 0.9958 0.2343  1 Nb 2.64, 2 Zr 2.71

Results
Space group: No. 12
Magnetic moment: 0.00 μB/f.u.
Uncorrected formation energy: -1183 meV/atom
Total DFT energy (no corrections): -6.482 eV/atom



## Nb3Si (PBE)

Data for a geometry-optimized Nb3Si structure.

a b c (Å): 3.3305 2.7069 8.0644
angles (deg): 90.00 90.00 90.00
Closest atoms and distances in Å follow each position.
Atoms (fractional coordinates):
Nb 0.0000 0.5000 0.4675  8 Nb 2.71-3.01
Nb 0.5000 0.0000 0.7285  2 Si 2.59, 2 Nb 2.71
Nb 0.5000 0.5000 0.1635  4 Si 2.64, 2 Nb 2.71
Si 0.0000 0.0000 0.9738  6 Nb 2.59-2.64, 2 Si 2.71

Results
Space group: No. 25
Magnetic moment: 0.00 μB/f.u.
Uncorrected formation energy: 150 meV/atom
Total DFT energy (no corrections): -8.758 eV/atom